(1)
Material: MnFe2Ag
Method: DFT, PBE
State: relaxed

Structure (extended XYZ):
```
4
Lattice="1.312 0.757 8.784 -1.312 0.757 8.784 0.000 -1.515 8.784" Properties=species:S:1:pos:R:3 pbc="T T T"
Mn 0.000 0.000 0.000
Fe 0.000 0.000 6.787
Fe 0.000 0.000 19.564
Ag 0.000 0.000 13.175
```

Properties
D(E_F), states/eV per cell: 3.7
ΔE_f, eV per atom: 0.35
Symmetry: R-3m
Relative energy among the computed polymorphs, eV/f.u.: 0.28

(2)
Material: CsRbSr
Method: DFT, PBE
State: relaxed

Structure (extended XYZ):
```
3
Lattice="4.708 0.000 0.000 -2.354 4.077 0.000 0.000 0.000 12.278" Properties=species:S:1:pos:R:3 pbc="T T T"
Cs 0.000 0.000 0.000
Rb 0.000 2.718 7.813
Sr 2.354 1.359 3.979
```

Properties
D(E_F), states/eV per cell: 3.7
ΔE_f, eV per atom: 0.13
Symmetry: P3m1
Relative energy among the computed polymorphs, eV/f.u.: 0.09

Among the records above, which one has the lowest ΔE_f? CsRbSr

Number 2 is which compound? CsRbSr

What is the D(E_F) in the first record? 3.7 states/eV per cell